1.
Below is a relaxed structure of PrSn4Ir2, with properties calculated at the PBE level.

Lattice parameters (Å, degrees): 8.9911 8.9911 3.9672 90.00 90.00 90.00
Fractional positions:
Pr1 0.0000 0.0000 0.0000
Pr2 0.5000 0.5000 0.5000
Sn1 0.0699 0.3059 0.5000
Sn2 0.1941 0.5699 0.0000
Sn3 0.3059 0.0699 0.5000
Sn4 0.4301 0.8059 0.0000
Sn5 0.5699 0.1941 0.0000
Sn6 0.6941 0.9301 0.5000
Sn7 0.8059 0.4301 0.0000
Sn8 0.9301 0.6941 0.5000
Ir1 0.2172 0.7828 0.5000
Ir2 0.2828 0.2828 0.0000
Ir3 0.7172 0.7172 0.0000
Ir4 0.7828 0.2172 0.5000

Theoretical density in Mg/m³: 10.4
E in eV for the cell shown: -82.2
Excess energy over the best structure of this formula in the dataset in kJ/mol of atoms: 16.7
Fermi-level density of states in states/eV per cell: 5.9

***

2.
Below is a relaxed structure of AlSi2Ir, with properties calculated at the PBE level.

Lattice parameters (Å, degrees): 5.3545 5.3545 2.9430 104.50 104.50 124.48
Fractional positions:
Al1 0.0000 0.0000 0.0000
Si1 0.0000 0.5000 0.0000
Si2 0.5000 0.0000 0.0000
Ir1 0.5000 0.5000 0.0000

Theoretical density in Mg/m³: 7.8
E in eV for the cell shown: -23.6
Excess energy over the best structure of this formula in the dataset in kJ/mol of atoms: 15.2
Formation energy from raw total energies in eV/f.u.: -0.175
Fermi-level density of states in states/eV per cell: 1.8

***

3.
Below is a relaxed structure of Sr2SnAs3Ir4, with properties calculated at the PBE level.

Lattice parameters (Å, degrees): 4.3260 4.3260 10.6313 90.00 90.00 90.00
Fractional positions:
Sr1 0.0000 0.5000 0.2462
Sr2 0.5000 0.0000 0.7538
Sn1 0.0000 0.0000 0.5000
As1 0.0000 0.5000 0.8696
As2 0.5000 0.0000 0.1304
As3 0.5000 0.5000 0.5000
Ir1 0.0000 0.0000 0.0000
Ir2 0.0000 0.5000 0.6388
Ir3 0.5000 0.0000 0.3612
Ir4 0.5000 0.5000 0.0000

Theoretical density in Mg/m³: 10.7
E in eV for the cell shown: -61.9
Fermi-level density of states in states/eV per cell: 3.3

***

4.
Below is a relaxed structure of TbAlB14, with properties calculated at the PBE level.

Lattice parameters (Å, degrees): 7.3064 7.3064 7.3064 132.26 88.11 111.13
Fractional positions:
Tb1 0.3992 0.1492 0.2500
Tb2 0.6008 0.8508 0.7500
Al1 0.0000 0.0000 0.5000
Al2 0.0000 0.5000 0.0000
B1 0.0144 0.8724 0.1420
B2 0.0313 0.2039 0.3317
B3 0.0313 0.6996 0.8274
B4 0.0767 0.6663 0.4104
B5 0.2009 0.5337 0.6672
B6 0.2226 0.4997 0.3982
B7 0.2226 0.8244 0.7229
B8 0.2304 0.8724 0.3580
B9 0.2441 0.3337 0.9104
B10 0.3665 0.5337 0.8328
B11 0.3722 0.2039 0.6726
B12 0.3722 0.6996 0.1683
B13 0.3985 0.1756 0.8982
B14 0.3985 0.5003 0.2229
B15 0.6015 0.4997 0.7771
B16 0.6015 0.8244 0.1018
B17 0.6278 0.3004 0.8317
B18 0.6278 0.7961 0.3274
B19 0.6335 0.4663 0.1672
B20 0.7559 0.6663 0.0896
B21 0.7696 0.1276 0.6420
B22 0.7774 0.1756 0.2771
B23 0.7774 0.5003 0.6018
B24 0.7991 0.4663 0.3328
B25 0.9233 0.3337 0.5896
B26 0.9687 0.3004 0.1726
B27 0.9687 0.7961 0.6683
B28 0.9856 0.1276 0.8580

Theoretical density in Mg/m³: 4.4
E in eV for the cell shown: -209.0
Fermi-level density of states in states/eV per cell: 3.4

***

5.
Below is a relaxed structure of AcPr5Tm3, with properties calculated at the PBE level.

Lattice parameters (Å, degrees): 10.7995 10.7995 7.3975 110.00 110.00 52.66
Fractional positions:
Ac1 0.1465 0.8535 0.7500
Ac2 0.8535 0.1465 0.2500
Pr1 0.0072 0.6561 0.8391
Pr2 0.0070 0.6575 0.3246
Pr3 0.2213 0.7787 0.2500
Pr4 0.3425 0.9930 0.1754
Pr5 0.3439 0.9928 0.6609
Pr6 0.6561 0.0072 0.3391
Pr7 0.6575 0.0070 0.8246
Pr8 0.7787 0.2213 0.7500
Pr9 0.9930 0.3425 0.6754
Pr10 0.9928 0.3439 0.1609
Tm1 0.3205 0.3309 0.5754
Tm2 0.3309 0.3205 0.0754
Tm3 0.5000 0.5000 0.0000
Tm4 0.5000 0.5000 0.5000
Tm5 0.6691 0.6795 0.9246
Tm6 0.6795 0.6691 0.4246

Theoretical density in Mg/m³: 7.5
E in eV for the cell shown: -80.3
Fermi-level density of states in states/eV per cell: 25.0

***

6.
Below is a relaxed structure of La2CuB2Rh5, with properties calculated at the PBE level.

Lattice parameters (Å, degrees): 9.7138 9.7138 3.2578 90.00 90.00 90.00
Fractional positions:
La1 0.1778 0.3222 0.0000
La2 0.3222 0.8222 0.0000
La3 0.6778 0.1778 0.0000
La4 0.8222 0.6778 0.0000
Cu1 0.0000 0.0000 0.0000
Cu2 0.5000 0.5000 0.0000
B1 0.1218 0.6218 0.0000
B2 0.3782 0.1218 0.0000
B3 0.6218 0.8782 0.0000
B4 0.8782 0.3782 0.0000
Rh1 0.0000 0.5000 0.5000
Rh2 0.0691 0.7756 0.5000
Rh3 0.2244 0.0691 0.5000
Rh4 0.2756 0.5691 0.5000
Rh5 0.4309 0.2756 0.5000
Rh6 0.5000 0.0000 0.5000
Rh7 0.5691 0.7244 0.5000
Rh8 0.7244 0.4309 0.5000
Rh9 0.7756 0.9309 0.5000
Rh10 0.9309 0.2244 0.5000

Theoretical density in Mg/m³: 9.5
E in eV for the cell shown: -138.4
Fermi-level density of states in states/eV per cell: 8.9

***

7.
Below is a relaxed structure of Na2NiAs4Pd3, with properties calculated at the PBE level.

Lattice parameters (Å, degrees): 4.3030 4.3030 10.2402 90.00 90.00 90.00
Fractional positions:
Na1 0.0000 0.5000 0.2431
Na2 0.5000 0.0000 0.7569
Ni1 0.5000 0.5000 0.0000
As1 0.0000 0.0000 0.5000
As2 0.0000 0.5000 0.8796
As3 0.5000 0.0000 0.1204
As4 0.5000 0.5000 0.5000
Pd1 0.0000 0.0000 0.0000
Pd2 0.0000 0.5000 0.6353
Pd3 0.5000 0.0000 0.3647

Theoretical density in Mg/m³: 6.3
E in eV for the cell shown: -46.2
Fermi-level density of states in states/eV per cell: 5.6

***

8.
Below is a relaxed structure of PmPr2Sm2Tm2, with properties calculated at the PBE level.

Lattice parameters (Å, degrees): 6.2423 6.2423 8.1176 97.49 97.49 48.37
Fractional positions:
Pm1 0.0000 0.0000 0.0000
Pr1 0.4284 0.4284 0.2818
Pr2 0.5716 0.5716 0.7182
Sm1 0.1437 0.1437 0.4295
Sm2 0.8563 0.8563 0.5705
Tm1 0.2851 0.2851 0.8585
Tm2 0.7149 0.7149 0.1415

Theoretical density in Mg/m³: 7.6
E in eV for the cell shown: -32.6
Fermi-level density of states in states/eV per cell: 9.5